Here is an optimized crystal structure of Zr2CuSb from Alexandria. Energies are from PBE.

Cell: 4.8628 4.8628 4.8628 Å, 60.00 60.00 60.00°
Last column: nearest neighbours and their distance in Å.
Sites, in units of the cell vectors:
Cu 0.5000 0.5000 0.5000  4 Sb 2.98, 4 Zr 2.98
Sb 0.2500 0.2500 0.2500  4 Zr 2.98, 4 Cu 2.98
Zr 0.0000 0.0000 0.0000  4 Zr 2.98, 4 Sb 2.98
Zr 0.7500 0.7500 0.7500  4 Zr 2.98, 4 Cu 2.98

Results
E_tot: -24.6 eV per cell
N(E_F): 4.97 states/eV/f.u.


Here is an optimized crystal structure of Mn2CdCl from Alexandria. Energies are from PBE.

Cell: 6.3383 6.3383 6.3383 Å, 152.33 136.72 52.15°
Last column: nearest neighbours and their distance in Å.
Sites, in units of the cell vectors:
Mn 0.8208 0.3208 0.5000  2 Mn 2.70, 2 Cd 2.88
Mn 0.0172 0.0172 0.0000  2 Cl 2.52, 2 Mn 2.70
Cd 0.4682 0.4682 0.0000  6 Mn 2.84-2.88, 2 Cd 3.03
Cl 0.1937 0.6937 0.5000  2 Mn 2.52

Results
E_tot: -20.3 eV per cell
Energy above the lowest structure with this stoichiometry: 200 meV/atom
N(E_F): 2.46 states/eV/f.u.


Here is an optimized crystal structure of BaCu7Cl12 from Alexandria. Energies are from PBE.

Cell: 8.0657 8.0657 8.0657 Å, 109.47 109.47 109.47°
Last column: nearest neighbours and their distance in Å.
Sites, in units of the cell vectors:
Cu 0.0000 0.5000 0.5000  4 Cl 2.38
Cu 0.5000 0.5000 0.5000  6 Cl 2.50
Cu 0.5000 0.0000 0.5000  4 Cl 2.38
Cu 0.0000 0.5000 0.0000  6 Cl 2.50
Cu 0.0000 0.0000 0.5000  6 Cl 2.50
Cu 0.5000 0.0000 0.0000  6 Cl 2.50
Cu 0.5000 0.5000 0.0000  4 Cl 2.38
Cl 0.6864 0.8249 0.5113  3 Cu 2.38-2.50
Cl 0.6864 0.1751 0.8614  3 Cu 2.38-2.50
Cl 0.4887 0.3136 0.1751  3 Cu 2.38-2.50
Cl 0.8249 0.5113 0.6864  3 Cu 2.38-2.50
Cl 0.1386 0.3136 0.8249  3 Cu 2.38-2.50
Cl 0.1751 0.8614 0.6864  3 Cu 2.38-2.50
Cl 0.3136 0.8249 0.1386  3 Cu 2.38-2.50
Cl 0.5113 0.6864 0.8249  3 Cu 2.38-2.50
Cl 0.8614 0.6864 0.1751  3 Cu 2.38-2.50
Cl 0.8249 0.1386 0.3136  3 Cu 2.38-2.50
Cl 0.1751 0.4887 0.3136  3 Cu 2.38-2.50
Cl 0.3136 0.1751 0.4887  3 Cu 2.38-2.50
Ba 0.0000 0.0000 0.0000  12 Cl 3.35

Results
E_tot: -67.5 eV per cell
N(E_F): 12.41 states/eV/f.u.


Summary of energy relative to the elements, uncorrected in meV/atom
175; 205; -739
(order as listed above)